Crystalline Ce4ThTl2 at its relaxed geometry. Source: Alexandria, functional PBE-GGA.

As for the mass density: 10.25 Mg/m³. The formation energy comes out at 0.08 eV/atom.

The space group is Fmmm (No. 69) and the conventional cell measures 6.251, 10.834 and 11.489 Å, with angles of 90.00, 90.00 and 90.00 degrees. The inequivalent atoms are Ce at (0.250, 0.250, 0.000), Ce at (0.250, 0.250, 0.250), Th at (0.000, 0.000, 0.000) and Tl at (0.000, 0.000, 0.357).